[1]
# Rb10Au2O3, relaxed, DFT PBE
data_Rb10Au2O3
_cell_length_a 8.233
_cell_length_b 11.681
_cell_length_c 13.855
_cell_angle_alpha 111.76
_cell_angle_beta 107.28
_cell_angle_gamma 90.00
_symmetry_space_group_name_H-M 'P 1'
_symmetry_Int_Tables_number 1
loop_
_symmetry_equiv_pos_as_xyz
'x,y,z'
loop_
_atom_site_label
_atom_site_fract_x
_atom_site_fract_y
_atom_site_fract_z
Rb1 0.628 0.965 0.774
Rb2 0.146 0.965 0.774
Rb3 0.372 0.035 0.226
Rb4 0.854 0.035 0.226
Rb5 0.624 0.513 0.706
Rb6 0.082 0.513 0.706
Rb7 0.376 0.487 0.294
Rb8 0.918 0.487 0.294
Rb9 0.977 0.825 0.955
Rb10 0.023 0.175 0.045
Rb11 0.866 0.241 0.733
Rb12 0.134 0.759 0.267
Rb13 0.765 0.745 0.531
Rb14 0.235 0.255 0.469
Rb15 0.487 0.835 0.973
Rb16 0.513 0.165 0.027
Rb17 0.780 0.500 0.000
Rb18 0.220 0.500 0.000
Rb19 0.500 0.000 0.500
Rb20 0.000 0.000 0.500
Au1 0.735 0.262 0.469
Au2 0.265 0.738 0.531
Au3 0.625 0.758 0.250
Au4 0.375 0.242 0.750
O1 0.925 0.522 0.851
O2 0.075 0.478 0.149
O3 0.826 0.984 0.653
O4 0.174 0.016 0.347
O5 0.747 0.000 0.000
O6 0.253 0.000 0.000
# Energy relative to the elements, uncorrected, eV/atom: -0.628

---

[2]
# Rb12Au5O3, relaxed, DFT PBE
data_Rb12Au5O3
_cell_length_a 17.202
_cell_length_b 17.202
_cell_length_c 17.202
_cell_angle_alpha 109.47
_cell_angle_beta 109.47
_cell_angle_gamma 109.47
_symmetry_space_group_name_H-M 'P 1'
_symmetry_Int_Tables_number 1
loop_
_symmetry_equiv_pos_as_xyz
'x,y,z'
loop_
_atom_site_label
_atom_site_fract_x
_atom_site_fract_y
_atom_site_fract_z
O1 0.750 0.375 0.125
O2 0.875 0.750 0.125
O3 0.375 0.750 0.625
O4 0.250 0.125 0.375
O5 0.875 0.125 0.250
O6 0.375 0.625 0.250
O7 0.625 0.375 0.750
O8 0.125 0.875 0.750
O9 0.750 0.875 0.625
O10 0.625 0.250 0.375
O11 0.125 0.250 0.875
O12 0.250 0.625 0.875
Au1 0.125 0.375 0.250
Au2 0.000 0.500 0.000
Au3 0.000 0.000 0.000
Au4 0.375 0.250 0.125
Au5 0.500 0.000 0.500
Au6 0.500 0.500 0.000
Au7 0.125 0.750 0.375
Au8 0.750 0.125 0.875
Au9 0.750 0.625 0.375
Au10 0.375 0.125 0.750
Au11 0.625 0.875 0.250
Au12 0.500 0.500 0.500
Au13 0.500 0.000 0.000
Au14 0.000 0.000 0.500
Au15 0.250 0.375 0.625
Au16 0.250 0.875 0.125
Au17 0.000 0.500 0.500
Au18 0.875 0.250 0.625
Au19 0.625 0.750 0.875
Au20 0.875 0.625 0.750
Rb1 0.627 0.199 0.995
Rb2 0.368 0.495 0.296
Rb3 0.005 0.301 0.373
Rb4 0.495 0.127 0.199
Rb5 0.428 0.627 0.632
Rb6 0.005 0.704 0.132
Rb7 0.368 0.873 0.572
Rb8 0.204 0.072 0.199
Rb9 0.704 0.005 0.632
Rb10 0.627 0.428 0.132
Rb11 0.873 0.505 0.301
Rb12 0.868 0.796 0.995
Rb13 0.199 0.627 0.495
Rb14 0.301 0.296 0.928
Rb15 0.928 0.796 0.301
Rb16 0.572 0.199 0.704
Rb17 0.928 0.132 0.127
Rb18 0.505 0.632 0.204
Rb19 0.868 0.072 0.373
Rb20 0.199 0.572 0.204
Rb21 0.301 0.005 0.873
Rb22 0.704 0.699 0.572
Rb23 0.796 0.868 0.495
Rb24 0.873 0.368 0.072
Rb25 0.296 0.301 0.428
Rb26 0.204 0.132 0.505
Rb27 0.127 0.632 0.928
Rb28 0.132 0.928 0.627
Rb29 0.699 0.995 0.127
Rb30 0.801 0.428 0.796
Rb31 0.495 0.368 0.796
Rb32 0.428 0.801 0.296
Rb33 0.072 0.868 0.873
Rb34 0.072 0.204 0.699
Rb35 0.801 0.373 0.505
Rb36 0.132 0.204 0.005
Rb37 0.699 0.704 0.072
Rb38 0.296 0.995 0.368
Rb39 0.373 0.572 0.868
Rb40 0.127 0.495 0.699
Rb41 0.796 0.928 0.801
Rb42 0.632 0.127 0.428
Rb43 0.505 0.873 0.801
Rb44 0.995 0.296 0.868
Rb45 0.572 0.373 0.368
Rb46 0.995 0.699 0.627
Rb47 0.632 0.505 0.704
Rb48 0.373 0.801 0.005
# Energy relative to the elements, uncorrected, eV/atom: -0.486
# ΔE to the lowest computed polymorph, meV/atom: 104.2

---

[3]
# Rb9Au2O3, relaxed, DFT PBE
data_Rb9Au2O3
_cell_length_a 11.102
_cell_length_b 11.102
_cell_length_c 12.940
_cell_angle_alpha 85.20
_cell_angle_beta 112.65
_cell_angle_gamma 130.44
_symmetry_space_group_name_H-M 'P 1'
_symmetry_Int_Tables_number 1
loop_
_symmetry_equiv_pos_as_xyz
'x,y,z'
loop_
_atom_site_label
_atom_site_fract_x
_atom_site_fract_y
_atom_site_fract_z
Rb1 0.350 0.962 0.768
Rb2 0.650 0.038 0.232
Rb3 0.694 0.582 0.732
Rb4 0.306 0.418 0.268
Rb5 0.296 0.504 0.962
Rb6 0.704 0.496 0.038
Rb7 0.042 0.334 0.538
Rb8 0.958 0.666 0.462
Rb9 0.875 0.125 0.750
Rb10 0.125 0.875 0.250
Rb11 0.205 0.097 0.001
Rb12 0.795 0.903 0.999
Rb13 0.597 0.204 0.499
Rb14 0.403 0.796 0.501
Rb15 0.740 0.817 0.492
Rb16 0.260 0.183 0.508
Rb17 0.825 0.249 0.008
Rb18 0.175 0.751 0.992
Au1 0.297 0.276 0.776
Au2 0.703 0.724 0.224
Au3 0.000 0.521 0.724
Au4 0.000 0.479 0.276
O1 0.500 0.000 0.000
O2 0.500 0.500 0.500
O3 0.724 0.054 0.503
O4 0.276 0.946 0.497
O5 0.050 0.221 0.997
O6 0.950 0.779 0.003
# Energy relative to the elements, uncorrected, eV/atom: -0.620

---

[4]
# Rb8AuO2, relaxed, DFT PBE
data_Rb8AuO2
_cell_length_a 7.921
_cell_length_b 9.581
_cell_length_c 9.581
_cell_angle_alpha 78.15
_cell_angle_beta 85.66
_cell_angle_gamma 85.66
_symmetry_space_group_name_H-M 'P 1'
_symmetry_Int_Tables_number 1
loop_
_symmetry_equiv_pos_as_xyz
'x,y,z'
loop_
_atom_site_label
_atom_site_fract_x
_atom_site_fract_y
_atom_site_fract_z
Rb1 0.745 0.041 0.708
Rb2 0.255 0.292 0.959
Rb3 0.698 0.194 0.194
Rb4 0.302 0.806 0.806
Rb5 0.745 0.708 0.041
Rb6 0.255 0.959 0.292
Rb7 0.262 0.374 0.374
Rb8 0.738 0.626 0.626
Au1 0.000 0.000 0.000
O1 0.374 0.207 0.207
O2 0.626 0.793 0.793
# Energy relative to the elements, uncorrected, eV/atom: -0.536
# ΔE to the lowest computed polymorph, meV/atom: 0.0

---

[5]
# RbAuO3, relaxed, DFT PBE
data_RbAuO3
_cell_length_a 4.356
_cell_length_b 4.356
_cell_length_c 4.356
_cell_angle_alpha 90.00
_cell_angle_beta 90.00
_cell_angle_gamma 90.00
_symmetry_space_group_name_H-M 'P 1'
_symmetry_Int_Tables_number 1
loop_
_symmetry_equiv_pos_as_xyz
'x,y,z'
loop_
_atom_site_label
_atom_site_fract_x
_atom_site_fract_y
_atom_site_fract_z
Au1 0.500 0.500 0.500
O1 0.000 0.500 0.000
O2 0.000 0.000 0.500
O3 0.500 0.000 0.000
Rb1 0.000 0.000 0.000
# Energy relative to the elements, uncorrected, eV/atom: 1.462

---

[6]
# RbRe2AuO8, relaxed, DFT PBE
data_RbRe2AuO8
_cell_length_a 5.524
_cell_length_b 5.524
_cell_length_c 9.549
_cell_angle_alpha 73.19
_cell_angle_beta 73.19
_cell_angle_gamma 60.00
_symmetry_space_group_name_H-M 'P 1'
_symmetry_Int_Tables_number 1
loop_
_symmetry_equiv_pos_as_xyz
'x,y,z'
loop_
_atom_site_label
_atom_site_fract_x
_atom_site_fract_y
_atom_site_fract_z
Rb1 0.000 0.000 0.000
Re1 0.754 0.754 0.738
Re2 0.246 0.246 0.262
Au1 0.500 0.500 0.500
O1 0.689 0.689 0.934
O2 0.311 0.311 0.066
O3 0.520 0.240 0.323
O4 0.760 0.480 0.677
O5 0.084 0.760 0.677
O6 0.240 0.916 0.323
O7 0.916 0.520 0.323
O8 0.480 0.084 0.677
# Energy relative to the elements, uncorrected, eV/atom: -1.400

---

[7]
# Rb2RhAuO4, relaxed, DFT PBE
data_Rb2RhAuO4
_cell_length_a 5.869
_cell_length_b 5.869
_cell_length_c 5.869
_cell_angle_alpha 104.56
_cell_angle_beta 111.98
_cell_angle_gamma 111.98
_symmetry_space_group_name_H-M 'P 1'
_symmetry_Int_Tables_number 1
loop_
_symmetry_equiv_pos_as_xyz
'x,y,z'
loop_
_atom_site_label
_atom_site_fract_x
_atom_site_fract_y
_atom_site_fract_z
Rb1 0.500 0.750 0.250
Rb2 0.000 0.000 0.000
Rh1 0.000 0.500 0.500
Au1 0.500 0.250 0.750
O1 0.666 0.442 0.513
O2 0.071 0.223 0.558
O3 0.929 0.487 0.153
O4 0.334 0.847 0.777
# Energy relative to the elements, uncorrected, eV/atom: -0.662

---

[8]
# RbAuS2O8, relaxed, DFT PBE
data_RbAuS2O8
_cell_length_a 5.126
_cell_length_b 6.275
_cell_length_c 7.266
_cell_angle_alpha 68.14
_cell_angle_beta 69.31
_cell_angle_gamma 65.83
_symmetry_space_group_name_H-M 'P 1'
_symmetry_Int_Tables_number 1
loop_
_symmetry_equiv_pos_as_xyz
'x,y,z'
loop_
_atom_site_label
_atom_site_fract_x
_atom_site_fract_y
_atom_site_fract_z
S1 0.306 0.225 0.162
S2 0.694 0.775 0.838
Au1 0.000 0.000 0.000
O1 0.836 0.646 0.681
O2 0.657 0.636 0.049
O3 0.164 0.354 0.319
O4 0.343 0.364 0.951
O5 0.608 0.049 0.212
O6 0.392 0.951 0.788
O7 0.128 0.051 0.212
O8 0.872 0.949 0.788
Rb1 0.500 0.500 0.500
# Energy relative to the elements, uncorrected, eV/atom: -1.206

---

The calculation returns the following DOS at the Fermi energy values, one per record and in order: 8.87, 30.93, 9.77, 5.55, 7.72, 0.00, 1.56, 0.00 states/eV/cell.